1.
Density functional theory data (PBE) for a relaxed MnRe4Cl crystal.

```
6
Lattice="0.0000 3.7048 3.7048 3.7048 0.0000 3.7048 3.7048 3.7048 0.0000" Properties=species:S:1:pos:R:3 pbc="T T T"
Mn 0.0000 0.0000 0.0000
Re 4.6286 2.7809 2.7809
Re 2.7809 4.6286 2.7809
Re 2.7809 2.7809 4.6286
Re 4.6286 4.6286 4.6286
Cl 1.8524 1.8524 1.8524
```

* magnetic moment: 3.40 μB/f.u.
* VASP energy: -54.2 eV per formula unit
* symmetry: No. 216
* theoretical density: 13.6 Mg/m³
* energy relative to the elements, uncorrected: 1099 meV per atom

***

2.
Density functional theory data (PBE) for a relaxed MnRe2Cl crystal.

```
4
Lattice="1.4032 0.8102 8.3350 -1.4032 0.8102 8.3350 0.0000 -1.6203 8.3350" Properties=species:S:1:pos:R:3 pbc="T T T"
Mn 0.0000 0.0000 0.0000
Re 0.0000 0.0000 6.3316
Re 0.0000 0.0000 18.6733
Cl 0.0000 0.0000 12.5024
```

* magnetic moment: 0.93 μB/f.u.
* VASP energy: -33.9 eV per formula unit
* symmetry: No. 166
* theoretical density: 13.5 Mg/m³
* energy relative to the elements, uncorrected: 491 meV per atom

***

3.
Density functional theory data (PBE) for a relaxed MnRe2Cl crystal.

```
4
Lattice="2.7713 0.0000 0.0000 0.0000 2.7713 0.0000 0.0000 0.0000 7.4053" Properties=species:S:1:pos:R:3 pbc="T T T"
Mn 0.0000 0.0000 0.0000
Re 1.3856 1.3856 1.6747
Re 1.3856 1.3856 5.7306
Cl 0.0000 0.0000 3.7027
```

* magnetic moment: 0.00 μB/f.u.
* VASP energy: -33.1 eV per formula unit
* symmetry: No. 123
* theoretical density: 13.5 Mg/m³
* energy relative to the elements, uncorrected: 702 meV per atom

***

4.
Density functional theory data (PBE) for a relaxed MnRe2Cl crystal.

```
4
Lattice="2.7933 0.0000 0.0000 0.0000 4.6309 0.0000 0.0000 0.0000 4.6890" Properties=species:S:1:pos:R:3 pbc="T T T"
Mn 0.0000 0.0000 0.0000
Re 0.0000 2.3154 2.3445
Re 1.3966 2.3154 0.0000
Cl 1.3966 0.0000 2.3445
```

* magnetic moment: 2.89 μB/f.u.
* VASP energy: -32.4 eV per formula unit
* symmetry: No. 47
* theoretical density: 12.7 Mg/m³
* energy relative to the elements, uncorrected: 886 meV per atom

***

5.
Density functional theory data (PBE) for a relaxed MnRe2Cl crystal.

```
4
Lattice="-1.4121 2.1788 4.3517 1.4121 -2.1788 4.3517 1.4121 2.1788 -4.3517" Properties=species:S:1:pos:R:3 pbc="T T T"
Mn 0.0000 0.0000 0.0000
Re 1.4121 0.0000 2.3468
Re 0.0000 0.0000 4.7277
Cl 0.0000 2.1788 2.5001
```

* magnetic moment: 0.01 μB/f.u.
* VASP energy: -32.7 eV per formula unit
* symmetry: No. 44
* theoretical density: 14.4 Mg/m³
* energy relative to the elements, uncorrected: 805 meV per atom

***

6.
Density functional theory data (PBE) for a relaxed MnReCl4 crystal.

```
6
Lattice="0.0000 4.1123 4.1123 4.1123 0.0000 4.1123 4.1123 4.1123 0.0000" Properties=species:S:1:pos:R:3 pbc="T T T"
Mn 0.0000 0.0000 0.0000
Re 6.1684 6.1684 6.1684
Cl 3.0853 3.0853 3.0853
Cl 5.1393 5.1393 3.0853
Cl 5.1393 3.0853 5.1393
Cl 3.0853 5.1393 5.1393
```

* magnetic moment: 1.54 μB/f.u.
* VASP energy: -20.8 eV per formula unit
* symmetry: No. 216
* theoretical density: 4.6 Mg/m³
* energy relative to the elements, uncorrected: 1368 meV per atom

***

7.
Density functional theory data (PBE) for a relaxed MnRe2Cl crystal.

```
4
Lattice="4.6332 -1.4297 0.0000 4.6332 1.4297 0.0000 -0.1057 0.0000 4.4207" Properties=species:S:1:pos:R:3 pbc="T T T"
Mn 0.0000 0.0000 0.0000
Re 3.9460 0.0000 2.4851
Re 6.5635 0.0000 3.5618
Cl 1.9890 0.0000 0.9904
```

* magnetic moment: 0.01 μB/f.u.
* VASP energy: -32.9 eV per formula unit
* symmetry: No. 8
* theoretical density: 13.1 Mg/m³
* energy relative to the elements, uncorrected: 765 meV per atom

***

8.
Density functional theory data (PBE) for a relaxed MnRe2Cl crystal.

```
4
Lattice="4.7315 0.0000 0.0000 0.0000 2.8292 0.0000 -1.4652 0.0000 4.5257" Properties=species:S:1:pos:R:3 pbc="T T T"
Mn 0.0000 0.0000 0.0000
Re -0.7326 1.4146 2.2628
Re 1.6331 0.0000 2.2628
Cl 2.3658 1.4146 0.0000
```

* magnetic moment: 3.40 μB/f.u.
* VASP energy: -32.3 eV per formula unit
* symmetry: No. 10
* theoretical density: 12.7 Mg/m³
* energy relative to the elements, uncorrected: 900 meV per atom

***

9.
Density functional theory data (PBE) for a relaxed MnRe2Cl crystal.

```
4
Lattice="-1.4171 2.2687 4.6344 1.4171 -2.2687 4.6344 1.4171 2.2687 -4.6344" Properties=species:S:1:pos:R:3 pbc="T T T"
Mn 0.0000 0.0000 0.0000
Re 1.4171 0.0000 2.4877
Re 0.0000 2.2687 2.1467
Cl 0.0000 0.0000 4.6344
```

* magnetic moment: 2.65 μB/f.u.
* VASP energy: -32.8 eV per formula unit
* symmetry: No. 71
* theoretical density: 12.9 Mg/m³
* energy relative to the elements, uncorrected: 776 meV per atom

***

10.
Density functional theory data (PBE) for a relaxed MnReSCl2 crystal.

```
5
Lattice="4.9724 0.0000 0.0000 0.0000 4.9724 0.0000 0.0000 0.0000 4.4821" Properties=species:S:1:pos:R:3 pbc="T T T"
Mn 0.0000 0.0000 0.0000
Re 2.4862 2.4862 2.2410
S 2.4862 2.4862 0.0000
Cl 0.0000 2.4862 2.2410
Cl 2.4862 0.0000 2.2410
```

* magnetic moment: 5.82 μB/f.u.
* VASP energy: -27.3 eV per formula unit
* symmetry: No. 123
* theoretical density: 5.2 Mg/m³
* energy relative to the elements, uncorrected: 419 meV per atom

***

11.
Density functional theory data (PBE) for a relaxed MnReSCl2 crystal.

```
5
Lattice="4.7318 0.0000 0.0000 0.0000 4.7318 0.0000 0.0000 0.0000 5.0222" Properties=species:S:1:pos:R:3 pbc="T T T"
Mn 0.0000 0.0000 0.0000
Re 2.3659 2.3659 2.5111
S 0.0000 0.0000 2.5111
Cl 0.0000 2.3659 0.0000
Cl 2.3659 0.0000 0.0000
```

* magnetic moment: 9.98 μB/f.u.
* VASP energy: -25.9 eV per formula unit
* symmetry: No. 123
* theoretical density: 5.1 Mg/m³
* energy relative to the elements, uncorrected: 702 meV per atom

***

12.
Density functional theory data (PBE) for a relaxed MnRhCl4 crystal.

```
6
Lattice="0.0000 4.0664 4.0664 4.0664 0.0000 4.0664 4.0664 4.0664 0.0000" Properties=species:S:1:pos:R:3 pbc="T T T"
Mn 0.0000 0.0000 0.0000
Rh 6.0996 6.0996 6.0996
Cl 3.0522 3.0522 3.0522
Cl 5.0806 5.0806 3.0522
Cl 5.0806 3.0522 5.0806
Cl 3.0522 5.0806 5.0806
```

* magnetic moment: 1.87 μB/f.u.
* VASP energy: -18.0 eV per formula unit
* symmetry: No. 216
* theoretical density: 3.7 Mg/m³
* energy relative to the elements, uncorrected: 978 meV per atom